(1)
Li2BiPW: relaxed, PBE-GGA.

## Properties
energy relative to the elements = 0.8223 eV per atom
DOS at the Fermi energy = 1.2 states/eV/f.u.
E_tot = -21.96 eV/cell
symmetry = P4/mmm, No. 123
calculated volume = 114.0 Å³/cell
crystal system = tetragonal

Lattice parameters (Å, degrees): 4.4288 4.4288 5.8126 90.00 90.00 90.00
With the nearest neighbours (Å) after each atom.
Sites, in units of the cell vectors:
1 Li 0.0000 0.5000 0.0000  2 P 2.21
2 Li 0.5000 0.0000 0.0000  2 P 2.21
3 Bi 0.0000 0.0000 0.5000  2 P 2.91, 4 W 3.13
4 P 0.0000 0.0000 0.0000  4 Li 2.21
5 W 0.5000 0.5000 0.5000  4 Bi 3.13

(2)
LiPa2Bi4: relaxed, PBE-GGA.

## Properties
energy relative to the elements = -0.1705 eV per atom
DOS at the Fermi energy = 6.8 states/eV/f.u.
E_tot = -37.62 eV/cell
symmetry = Cmmm, No. 65
calculated volume = 207.2 Å³/cell
crystal system = orthorhombic

Lattice parameters (Å, degrees): 6.4883 6.4883 5.0423 90.00 90.00 102.60
With the nearest neighbours (Å) after each atom.
Sites, in units of the cell vectors:
1 Li 0.0000 0.0000 0.0000  8 Bi 3.24-3.25, 4 Pa 3.53
2 Pa 0.2444 0.7556 0.5000  8 Bi 3.22-3.27, 2 Li 3.53
3 Pa 0.7556 0.2444 0.5000  8 Bi 3.22-3.27, 2 Li 3.53
4 Bi 0.0000 0.5000 0.0000  4 Pa 3.24, 2 Li 3.24, 4 Bi 3.57
5 Bi 0.2531 0.2531 0.5000  4 Pa 3.22-3.27, 2 Li 3.25, 4 Bi 3.57
6 Bi 0.5000 0.0000 0.0000  4 Pa 3.24, 2 Li 3.24, 4 Bi 3.57
7 Bi 0.7469 0.7469 0.5000  4 Pa 3.22-3.27, 2 Li 3.25, 4 Bi 3.57

(3)
Li2Pa2Bi7: relaxed, PBE-GGA.

## Properties
energy relative to the elements = -0.0372 eV per atom
DOS at the Fermi energy = 10.8 states/eV/f.u.
E_tot = -50.40 eV/cell
symmetry = C2/m, No. 12
calculated volume = 353.1 Å³/cell
crystal system = monoclinic

Lattice parameters (Å, degrees): 6.3946 6.3946 9.9307 96.11 96.11 61.20
With the nearest neighbours (Å) after each atom.
Sites, in units of the cell vectors:
1 Li 0.2315 0.7685 0.0000  4 Bi 2.96-2.99, 1 Li 3.01
2 Li 0.7685 0.2315 0.0000  4 Bi 2.96-2.99, 1 Li 3.01
3 Pa 0.2075 0.2075 0.5006  7 Bi 3.22-3.34, 2 Pa 3.39
4 Pa 0.7925 0.7925 0.4994  7 Bi 3.22-3.34, 2 Pa 3.39
5 Bi 0.0289 0.0289 0.7455  2 Li 2.99, 4 Bi 3.20-3.25, 2 Pa 3.31-3.34
6 Bi 0.0365 0.5357 0.7878  1 Li 2.96, 4 Bi 3.20-3.26, 2 Pa 3.30
7 Bi 0.4643 0.9635 0.2122  1 Li 2.96, 4 Bi 3.20-3.26, 2 Pa 3.30
8 Bi 0.5000 0.5000 0.5000  2 Pa 3.22
9 Bi 0.5357 0.0365 0.7878  1 Li 2.96, 4 Bi 3.20-3.26, 2 Pa 3.30
10 Bi 0.9635 0.4643 0.2122  1 Li 2.96, 4 Bi 3.20-3.26, 2 Pa 3.30
11 Bi 0.9711 0.9711 0.2545  2 Li 2.99, 4 Bi 3.20-3.25, 2 Pa 3.31-3.34

(4)
LiPaBi3: relaxed, PBE-GGA.

## Properties
energy relative to the elements = -0.1162 eV per atom
DOS at the Fermi energy = 4.3 states/eV/f.u.
E_tot = -47.27 eV/cell
symmetry = P2_1/m, No. 11
calculated volume = 274.2 Å³/cell
crystal system = monoclinic

Lattice parameters (Å, degrees): 7.3952 4.2151 8.8248 90.00 94.62 90.00
With the nearest neighbours (Å) after each atom.
Sites, in units of the cell vectors:
1 Li 0.2138 0.2500 0.2530  5 Bi 2.97-3.29
2 Li 0.7862 0.7500 0.7470  5 Bi 2.97-3.29
3 Pa 0.3752 0.7500 0.9527  2 Pa 2.88, 1 Bi 3.20
4 Pa 0.6248 0.2500 0.0473  2 Pa 2.88, 1 Bi 3.20
5 Bi 0.0448 0.2500 0.8638  2 Li 2.97, 2 Pa 3.27, 2 Bi 3.30
6 Bi 0.1594 0.7500 0.5675  3 Li 3.29-3.53, 7 Bi 3.31-3.51, 1 Pa 3.64
7 Bi 0.4941 0.7500 0.3098  2 Li 2.97, 1 Pa 3.20
8 Bi 0.5059 0.2500 0.6902  2 Li 2.97, 1 Pa 3.20
9 Bi 0.8406 0.2500 0.4325  3 Li 3.29-3.53, 7 Bi 3.31-3.51, 1 Pa 3.64
10 Bi 0.9552 0.7500 0.1362  2 Li 2.97, 2 Pa 3.27, 2 Bi 3.30

(5)
LiPm2PaBi4: relaxed, PBE-GGA.

## Properties
energy relative to the elements = -0.5202 eV per atom
DOS at the Fermi energy = 3.6 states/eV/f.u.
E_tot = -40.60 eV/cell
symmetry = P2/m, No. 10
calculated volume = 258.2 Å³/cell
crystal system = monoclinic

Lattice parameters (Å, degrees): 7.6739 4.5410 7.8435 90.00 109.15 90.00
With the nearest neighbours (Å) after each atom.
Sites, in units of the cell vectors:
1 Li 0.0000 0.0000 0.0000  6 Bi 3.08-3.14
2 Pm 0.0000 0.5000 0.5000  6 Bi 3.24
3 Pm 0.5000 0.0000 0.5000  6 Bi 3.24-3.25
4 Pa 0.5000 0.5000 0.0000  6 Bi 3.08-3.15
5 Bi 0.2476 0.5000 0.2352  1 Pa 3.08, 2 Li 3.14, 3 Pm 3.24-3.25
6 Bi 0.2509 0.0000 0.7636  1 Li 3.08, 2 Pa 3.15, 3 Pm 3.24
7 Bi 0.7491 0.0000 0.2364  1 Li 3.08, 2 Pa 3.15, 3 Pm 3.24
8 Bi 0.7524 0.5000 0.7648  1 Pa 3.08, 2 Li 3.14, 3 Pm 3.24-3.25

(6)
LiPaBi2S6: relaxed, PBE-GGA.

## Properties
DOS at the Fermi energy = 0.0 states/eV/f.u.
E_tot = -53.07 eV/cell
symmetry = R3, No. 146
calculated volume = 257.9 Å³/cell
crystal system = trigonal

Lattice parameters (Å, degrees): 7.3483 7.3483 7.3483 56.51 56.51 56.51
With the nearest neighbours (Å) after each atom.
Sites, in units of the cell vectors:
1 Li 0.0000 0.0000 0.0000  6 S 2.64-2.81
2 Pa 0.4919 0.4919 0.4919  6 S 2.64-2.68
3 Bi 0.2968 0.2968 0.2968  6 S 2.82-2.86
4 Bi 0.8008 0.8008 0.8008  6 S 2.81-2.87
5 S 0.1159 0.7100 0.3747  1 Li 2.64, 1 Pa 2.68, 2 Bi 2.82-2.87
6 S 0.2227 0.6153 0.8635  1 Pa 2.64, 1 Li 2.81, 2 Bi 2.81-2.86
7 S 0.3747 0.1159 0.7100  1 Li 2.64, 1 Pa 2.68, 2 Bi 2.82-2.87
8 S 0.6153 0.8635 0.2227  1 Pa 2.64, 1 Li 2.81, 2 Bi 2.81-2.86
9 S 0.7100 0.3747 0.1159  1 Li 2.64, 1 Pa 2.68, 2 Bi 2.82-2.87
10 S 0.8635 0.2227 0.6153  1 Pa 2.64, 1 Li 2.81, 2 Bi 2.81-2.86

(7)
LiPaBiS4: relaxed, PBE-GGA.

## Properties
DOS at the Fermi energy = 5.1 states/eV/f.u.
E_tot = -79.05 eV/cell
symmetry = Imma, No. 74
calculated volume = 371.8 Å³/cell
crystal system = orthorhombic

Lattice parameters (Å, degrees): 8.0721 8.0721 8.0721 120.08 119.97 89.96
With the nearest neighbours (Å) after each atom.
Sites, in units of the cell vectors:
1 Li 0.3756 0.1256 0.2500  4 S 2.57-2.61
2 Li 0.6244 0.8744 0.7500  4 S 2.57-2.61
3 Pa 0.0000 0.5000 0.5000  6 S 2.71-2.75
4 Pa 0.5000 0.5000 0.0000  6 S 2.71-2.75
5 Bi 0.0000 0.0000 0.5000  6 S 2.84
6 Bi 0.0000 0.5000 0.0000  6 S 2.84
7 S 0.2343 0.7375 0.4968  1 Li 2.57, 1 Pa 2.71, 2 Bi 2.84
8 S 0.2485 0.2673 0.5188  1 Li 2.61, 2 Pa 2.75, 1 Bi 2.84
9 S 0.2485 0.7297 0.9812  1 Li 2.61, 2 Pa 2.75, 1 Bi 2.84
10 S 0.2592 0.2625 0.9968  1 Li 2.57, 1 Pa 2.71, 2 Bi 2.84
11 S 0.7408 0.7375 0.0032  1 Li 2.57, 1 Pa 2.71, 2 Bi 2.84
12 S 0.7515 0.2703 0.0188  1 Li 2.61, 2 Pa 2.75, 1 Bi 2.84
13 S 0.7515 0.7327 0.4812  1 Li 2.61, 2 Pa 2.75, 1 Bi 2.84
14 S 0.7657 0.2625 0.5032  1 Li 2.57, 1 Pa 2.71, 2 Bi 2.84

(8)
LiPaBiSb: relaxed, PBE-GGA.

## Properties
DOS at the Fermi energy = 1.9 states/eV/f.u.
E_tot = -20.50 eV/cell
symmetry = F-43m, No. 216
calculated volume = 103.6 Å³/cell
crystal system = cubic

Lattice parameters (Å, degrees): 5.2713 5.2713 5.2713 60.00 60.00 60.00
With the nearest neighbours (Å) after each atom.
Sites, in units of the cell vectors:
1 Li 0.0000 0.0000 0.0000  4 Bi 3.23, 4 Sb 3.23
2 Pa 0.5000 0.5000 0.5000  4 Sb 3.23, 4 Bi 3.23
3 Bi 0.2500 0.2500 0.2500  4 Pa 3.23, 4 Li 3.23
4 Sb 0.7500 0.7500 0.7500  4 Pa 3.23, 4 Li 3.23

(9)
Li3PaBi2Se6: relaxed, PBE-GGA.

## Properties
DOS at the Fermi energy = 7.2 states/eV/f.u.
E_tot = -54.42 eV/cell
symmetry = C2/m, No. 12
calculated volume = 296.6 Å³/cell
crystal system = monoclinic

Lattice parameters (Å, degrees): 7.2580 7.2580 6.9199 100.19 100.19 119.64
With the nearest neighbours (Å) after each atom.
Sites, in units of the cell vectors:
1 Li 0.0000 0.0000 0.0000  6 Se 2.84-2.95
2 Li 0.3214 0.6786 0.0000  6 Se 2.82-2.94
3 Li 0.6786 0.3214 0.0000  6 Se 2.82-2.94
4 Pa 0.5000 0.5000 0.5000  6 Se 2.90
5 Bi 0.1639 0.8361 0.5000  6 Se 2.98-3.01
6 Bi 0.8361 0.1639 0.5000  6 Se 2.98-3.01
7 Se 0.0880 0.4121 0.2381  3 Li 2.82-2.86, 1 Pa 2.90, 2 Bi 2.99-3.01
8 Se 0.2672 0.2672 0.7642  1 Pa 2.90, 3 Li 2.94-2.95, 2 Bi 2.98
9 Se 0.4121 0.0880 0.2381  3 Li 2.82-2.86, 1 Pa 2.90, 2 Bi 2.99-3.01
10 Se 0.5879 0.9120 0.7619  3 Li 2.82-2.86, 1 Pa 2.90, 2 Bi 2.99-3.01
11 Se 0.7328 0.7328 0.2358  1 Pa 2.90, 3 Li 2.94-2.95, 2 Bi 2.98
12 Se 0.9120 0.5879 0.7619  3 Li 2.82-2.86, 1 Pa 2.90, 2 Bi 2.99-3.01

(10)
Li2PaBiSe4: relaxed, PBE-GGA.

## Properties
DOS at the Fermi energy = 6.4 states/eV/f.u.
E_tot = -38.82 eV/cell
symmetry = P2/m, No. 10
calculated volume = 194.0 Å³/cell
crystal system = monoclinic

Lattice parameters (Å, degrees): 7.0200 4.0264 7.2716 90.00 109.30 90.00
With the nearest neighbours (Å) after each atom.
Sites, in units of the cell vectors:
1 Li 0.0000 0.0000 0.0000  6 Se 2.85-2.94
2 Li 0.0000 0.5000 0.5000  6 Se 2.78-2.85
3 Pa 0.5000 0.0000 0.5000  6 Se 2.89-2.93
4 Bi 0.5000 0.5000 0.0000  6 Se 2.98-2.99
5 Se 0.2340 0.0000 0.7307  3 Li 2.78-2.94, 1 Pa 2.89, 2 Bi 2.99
6 Se 0.2374 0.5000 0.2490  3 Li 2.85, 2 Pa 2.93, 1 Bi 2.98
7 Se 0.7626 0.5000 0.7510  3 Li 2.85, 2 Pa 2.93, 1 Bi 2.98
8 Se 0.7660 0.0000 0.2693  3 Li 2.78-2.94, 1 Pa 2.89, 2 Bi 2.99